An optimized crystal structure of Li2AgGeH, computed with GGA-PBE.

Density of states at the Fermi level ... 1.3 states/eV/f.u.
E ... -3.0405 eV per atom
Relative energy among the computed polymorphs ... 0.046 eV/atom
ρ ... 4.90 g/cm³

Unit cell a=4.011 b=4.011 c=4.112 alpha=90.00 beta=90.00 gamma=90.00
Fractional coordinates of all 5 atoms:
H 0.000 0.000 0.000
Ge 0.000 0.000 0.500
Ag 0.500 0.500 0.500
Li 0.000 0.500 0.000
Li 0.500 0.000 0.000